First-principles (PBE with a Hubbard U) data for a relaxed PmV2MoO8 crystal, as listed in Alexandria via LeMat-Bulk.

a = 5.9971 Å, b = 5.9971 Å, c = 5.9971 Å
α = 106.87°, β = 106.87°, γ = 114.81°
Closest atoms and distances in Å follow each position.
Positions (direct):
1 Pm 0.2500 0.7500 0.5000  8 O 2.31-2.52
2 V 0.7500 0.2500 0.5000  4 O 1.76
3 V 0.5000 0.5000 0.0000  4 O 1.73
4 Mo 0.0000 0.0000 0.0000  8 O 2.26-2.49
5 O 0.3869 0.0781 0.3088  1 V 1.76
6 O 0.3267 0.5108 0.1841  1 V 1.73
7 O 0.3267 0.1426 0.8159  1 V 1.73
8 O 0.7693 0.0781 0.6912  1 V 1.76
9 O 0.8574 0.6733 0.1841  1 V 1.73
10 O 0.9219 0.2307 0.3088  1 V 1.76
11 O 0.9219 0.6131 0.6912  1 V 1.76
12 O 0.4892 0.6733 0.8159  1 V 1.73

**Magnetization**: 3.00 μB per formula unit
**Uncorrected energy**: -7.65 eV per atom